Material: CsLiHg2
Method: DFT, PBE-GGA
State: optimized geometry

Cell lengths 4.9870, 4.9870, 7.2509 Å; angles 69.89, 69.89, 60.00 degrees
Sites, in units of the cell vectors:
Cs: 0.5000 0.5000 0.5000
Hg: 0.3072 0.3072 0.0785
Hg: 0.6928 0.6928 0.9215
Li: 0.0000 0.0000 0.0000

Calculated formation energy: -96 kJ/mol of formula units
Density: 6.3 g/cm3
Space-group type: R-3m, No. 166